Crystalline Na5Sn3Br12 at its relaxed geometry. Source: Alexandria via LeMat-Bulk, functional PBE.

```
data_Na5Sn3Br12
_chemical_formula_sum 'Na40 Sn24 Br96'
_symmetry_space_group_name_H-M 'I a -3 d'
_symmetry_Int_Tables_number 230
_symmetry_space_group_name_Hall '-I 4bd 2c 3'
_cell_length_a 17.334
_cell_length_b 17.334
_cell_length_c 17.334
_cell_angle_alpha 90.00
_cell_angle_beta 90.00
_cell_angle_gamma 90.00
loop_
_atom_site_label
_atom_site_fract_x
_atom_site_fract_y
_atom_site_fract_z
Na1 0.000 0.000 0.000
Na2 0.000 0.250 0.375
Sn1 0.000 0.250 0.125
Br1 0.023 0.072 0.653
```

=====

Crystalline NaSn3Br8 at its relaxed geometry. Source: Alexandria via LeMat-Bulk, functional PBE.

```
data_NaSn3Br8
_chemical_formula_sum 'Na2 Sn6 Br16'
_symmetry_space_group_name_H-M 'C 1 m 1'
_symmetry_Int_Tables_number 8
_cell_length_a 18.317
_cell_length_b 5.768
_cell_length_c 9.508
_cell_angle_alpha 90.00
_cell_angle_beta 107.25
_cell_angle_gamma 90.00
loop_
_symmetry_equiv_pos_as_xyz
'x,y,z'
'x,-y,z'
'x+1/2,y+1/2,z'
'x+1/2,-y+1/2,z'
loop_
_atom_site_label
_atom_site_fract_x
_atom_site_fract_y
_atom_site_fract_z
Na1 0.000 0.000 0.000
Sn1 0.112 0.000 0.587
Sn2 0.316 0.000 0.992
Sn3 0.428 0.000 0.612
Br1 0.094 0.500 0.611
Br2 0.098 0.000 0.302
Br3 0.163 0.000 0.943
Br4 0.275 0.000 0.653
Br5 0.331 0.500 0.974
Br6 0.370 0.000 0.296
Br7 0.447 0.500 0.639
Br8 0.480 0.000 0.934
```

=====

Crystalline NaSn2Br6 at its relaxed geometry. Source: Alexandria via LeMat-Bulk, functional PBE.

```
data_NaSn2Br6
_chemical_formula_sum 'Na2 Sn4 Br12'
_symmetry_space_group_name_H-M 'P 42/m n m'
_symmetry_Int_Tables_number 136
_symmetry_space_group_name_Hall '-P 4n 2n'
_cell_length_a 6.936
_cell_length_b 6.936
_cell_length_c 13.081
_cell_angle_alpha 90.00
_cell_angle_beta 90.00
_cell_angle_gamma 90.00
loop_
_atom_site_label
_atom_site_fract_x
_atom_site_fract_y
_atom_site_fract_z
Na1 0.000 0.000 0.000
Sn1 0.000 0.000 0.332
Br1 0.192 0.192 0.500
Br2 0.206 0.206 0.174
```

Offset from the most stable computed form ... 0 meV per atom

=====

Number 1: formation energy from raw total energies -0.989 eV/atom, DFT total energy -467.64 eV for the cell shown. Number 2: formation energy from raw total energies -0.817 eV/atom, DFT total energy -73.03 eV for the cell shown. Number 3: formation energy from raw total energies -0.866 eV/atom, DFT total energy -54.31 eV for the cell shown.